The following is a PBE-GGA calculation of a relaxed structure of Tm8TlGe3Te4, from Alexandria via LeMat-Bulk.

Cell: 8.5895 8.5895 8.5895 Å, 58.72 58.72 58.72°
Last column: nearest neighbours and their distance in Å.
Atoms (fractional coordinates):
Tm (0.2315, 0.7476, 0.7476)  2 Ge 2.88, 1 Tl 2.98, 3 Te 3.05-3.14
Tm (0.2382, 0.2382, 0.2382)  3 Ge 2.87, 3 Te 3.16
Tm (0.2524, 0.2524, 0.7685)  2 Ge 2.88, 1 Tl 2.98, 3 Te 3.05-3.14
Tm (0.2524, 0.7685, 0.2524)  2 Ge 2.88, 1 Tl 2.98, 3 Te 3.05-3.14
Tm (0.7476, 0.2315, 0.7476)  2 Ge 2.88, 1 Tl 2.98, 3 Te 3.05-3.14
Tm (0.7476, 0.7476, 0.2315)  2 Ge 2.88, 1 Tl 2.98, 3 Te 3.05-3.14
Tm (0.7618, 0.7618, 0.7618)  3 Ge 2.87, 3 Te 3.16
Tm (0.7685, 0.2524, 0.2524)  2 Ge 2.88, 1 Tl 2.98, 3 Te 3.05-3.14
Tl (0.5000, 0.5000, 0.5000)  6 Tm 2.98
Ge (0.0000, 0.0000, 0.5000)  6 Tm 2.87-2.88
Ge (0.0000, 0.5000, 0.0000)  6 Tm 2.87-2.88
Ge (0.5000, 0.0000, 0.0000)  6 Tm 2.87-2.88
Te (0.0000, 0.0000, 0.0000)  6 Tm 3.05
Te (0.0000, 0.5000, 0.5000)  6 Tm 3.14-3.16
Te (0.5000, 0.0000, 0.5000)  6 Tm 3.14-3.16
Te (0.5000, 0.5000, 0.0000)  6 Tm 3.14-3.16

Properties
**Crystal system**: trigonal
**Energy relative to the elements, uncorrected**: -16.2 eV per formula unit
**Magnetization**: 0.00 μB per formula unit